(1)
Material: MgCoP2I
Method: DFT, SCAN
State: PBEsol geometry

Results
Uncorrected formation energy   1715 meV/atom
Theoretical density   3.36 g/cm³

Cell and atoms, written as POSCAR:
```
MgCoP2I
1.0
-3.0395 -0.1667 4.0971
-2.4320 -4.0329 -1.9683
3.3345 -3.1556 2.3454
I Mg Co P
1 1 1 2
direct
0.0000 0.0000 0.0000
0.0000 0.0000 0.5000
0.5000 0.5000 0.5000
0.5000 0.0000 0.0000
0.0000 0.5000 0.0000
```

(2)
Material: Y2Co17
Method: DFT, SCAN
State: PBEsol geometry

Results
Theoretical density   8.57 g/cm³
Energy above the lowest structure with this stoichiometry   0.004 eV per atom
Energy of formation   -0.98 eV per formula unit

Cell and atoms, written as POSCAR:
```
Y2Co17
1.0
-6.5750 -2.8382 3.4220
3.7164 0.1437 7.2600
-4.1602 6.5242 -2.5822
Co Y
34 4
direct
0.0223 0.3338 0.1669
0.0000 0.5000 0.5000
0.9777 0.6662 0.8331
0.4777 0.3338 0.1669
0.7500 0.9529 0.6246
0.2500 0.0471 0.6716
0.0223 0.8331 0.6662
0.9777 0.1669 0.3338
0.7500 0.9529 0.3284
0.2500 0.3284 0.3754
0.2500 0.0471 0.3754
0.2500 0.6246 0.6716
0.0000 0.5000 0.0000
0.3935 0.3333 0.6667
0.1065 0.3333 0.6667
0.9777 0.1669 0.8331
0.5000 0.0000 0.5000
0.2500 0.3284 0.9529
0.5223 0.1669 0.3338
0.5223 0.6662 0.8331
0.4777 0.8331 0.6662
0.5000 0.5000 0.0000
0.2500 0.6246 0.9529
0.0000 0.0000 0.5000
0.8935 0.6667 0.3333
0.7500 0.6716 0.0471
0.0223 0.8331 0.1669
0.4777 0.8331 0.1669
0.7500 0.6716 0.6246
0.7500 0.3754 0.3284
0.7500 0.3754 0.0471
0.6065 0.6667 0.3333
0.5000 0.5000 0.5000
0.5223 0.1669 0.8331
0.2500 0.6667 0.3333
0.7500 0.3333 0.6667
0.7500 0.0000 0.0000
0.2500 0.0000 0.0000
```

(3)
Material: TiPbS2
Method: DFT, SCAN
State: PBEsol geometry

Results
Uncorrected formation energy   -1156 meV/atom
Theoretical density   6.26 g/cm³

Cell and atoms, written as POSCAR:
```
TiPbS2
1.0
3.3674 0.0000 0.0000
1.6837 2.9162 0.0000
1.6837 0.9721 8.6163
Pb Ti S
1 1 2
direct
0.0000 0.0000 0.0000
0.5000 0.5000 0.5000
0.8889 0.8889 0.3334
0.1111 0.1111 0.6666
```

(4)
Material: TlCoAg2
Method: DFT, SCAN
State: PBEsol geometry

Results
Theoretical density   12.17 g/cm³
Energy above the lowest structure with this stoichiometry   0.007 eV per atom
Energy of formation   1.35 eV per formula unit

Cell and atoms, written as POSCAR:
```
TlCoAg2
1.0
4.5218 0.0000 0.0000
2.2609 3.9160 0.0000
2.2609 1.3053 3.6920
Ag Co Tl
2 1 1
direct
0.7500 0.7500 0.7500
0.0000 0.0000 0.0000
0.5000 0.5000 0.5000
0.2500 0.2500 0.2500
```

(5)
Material: Hf3BePt
Method: DFT, SCAN
State: PBEsol geometry

Results
Theoretical density   13.40 g/cm³
Energy of formation   0.36 eV per formula unit

Cell and atoms, written as POSCAR:
```
Hf3BePt
1.0
4.5084 0.0000 0.0000
0.0000 4.5084 0.0000
0.0000 0.0000 4.5084
Be Hf Pt
1 3 1
direct
0.0000 0.0000 0.0000
0.0000 0.0000 0.5000
0.5000 0.0000 0.0000
0.0000 0.5000 0.0000
0.5000 0.5000 0.5000
```

(6)
Material: CrCdOs2
Method: DFT, SCAN
State: PBEsol geometry

Results
Theoretical density   15.53 g/cm³
Energy of formation   1.44 eV per formula unit

Cell and atoms, written as POSCAR:
```
CrCdOs2
1.0
2.7474 0.0000 0.0000
0.0000 4.7244 -0.0151
-1.3737 -1.1648 4.4928
Cr Os Cd
1 2 1
direct
0.0000 0.5000 0.0000
0.2749 0.2834 0.5497
0.7251 0.7166 0.4503
0.5000 0.0000 0.0000
```

(7)
Material: LiYSn
Method: DFT, SCAN
State: PBEsol geometry

Results
Theoretical density   5.30 g/cm³
Energy of formation   -2.32 eV per formula unit

Cell and atoms, written as POSCAR:
```
LiYSn
1.0
-3.5622 -5.1932 -3.5576
7.5106 -5.4072 0.3729
-6.2904 -0.3366 6.7899
Li Y Sn
8 8 8
direct
0.3007 0.6665 0.8333
0.8007 0.8333 0.6665
0.3007 0.1667 0.8333
0.8007 0.3335 0.1667
0.3007 0.1667 0.3335
0.8007 0.8333 0.1667
0.6952 0.3333 0.6667
0.1952 0.6667 0.3333
0.0097 0.4889 0.9779
0.5137 0.0000 0.0000
0.5097 0.5111 0.0221
0.0137 0.0000 0.0000
0.5097 0.5111 0.4889
0.0097 0.0221 0.5111
0.0097 0.4889 0.5111
0.5097 0.9779 0.4889
0.2460 0.8333 0.6667
0.7460 0.1667 0.8333
0.2460 0.3333 0.1667
0.7770 0.6667 0.3333
0.7460 0.6667 0.8333
0.7460 0.1667 0.3333
0.2770 0.3333 0.6667
0.2460 0.8333 0.1667
```

(8)
Material: YTaTc2
Method: DFT, SCAN
State: PBEsol geometry

Results
Theoretical density   10.35 g/cm³
Energy of formation   1.18 eV per formula unit

Cell and atoms, written as POSCAR:
```
YTaTc2
1.0
3.1180 0.0000 0.0000
0.0000 3.9701 0.0000
0.0000 0.0000 6.0389
Y Tc Ta
1 2 1
direct
0.0000 0.0000 0.4658
0.5000 0.5000 0.2206
0.0000 0.0000 0.9819
0.5000 0.5000 0.8316
```

(9)
Material: LaFeMo3
Method: DFT, SCAN
State: PBEsol geometry

Results
Theoretical density   7.90 g/cm³
Energy of formation   12.38 eV per formula unit

Cell and atoms, written as POSCAR:
```
LaFeMo3
1.0
-1.8123 -4.2911 0.2237
4.0825 -1.7952 -1.3632
1.3404 -0.3339 4.4542
La Mo Fe
1 3 1
direct
0.0000 0.0000 0.0000
0.0000 0.5000 0.0000
0.0000 0.0000 0.5000
0.5000 0.0000 0.0000
0.5000 0.5000 0.5000
```

(10)
Material: NbTe4Ir
Method: DFT, SCAN
State: PBEsol geometry

Results
Uncorrected formation energy   -464 meV/atom
Theoretical density   8.66 g/cm³

Cell and atoms, written as POSCAR:
```
NbTe4Ir
1.0
3.7577 0.0000 0.0000
0.0000 12.5173 0.0000
0.0000 0.0000 12.9657
Te Ir Nb
16 4 4
direct
0.5000 0.5862 0.1414
0.0000 0.1940 0.8503
0.5000 0.9338 0.8906
0.5000 0.1109 0.1528
0.0000 0.5641 0.3945
0.0000 0.3467 0.0963
0.5000 0.4359 0.8945
0.5000 0.1482 0.6098
0.0000 0.6762 0.8438
0.0000 0.8891 0.6528
0.0000 0.8518 0.1098
0.0000 0.4138 0.6414
0.5000 0.3238 0.3438
0.0000 0.0662 0.3906
0.5000 0.6533 0.5963
0.5000 0.8060 0.3503
0.5000 0.4633 0.5000
0.0000 0.7540 0.4916
0.5000 0.2460 0.9916
0.0000 0.5367 0.0000
0.0000 0.0562 0.0059
0.0000 0.2699 0.4913
0.5000 0.9438 0.5059
0.5000 0.7301 0.9913
```

(11)
Material: NbFeSn2Pb
Method: DFT, SCAN
State: PBEsol geometry

Results
Theoretical density   7.53 g/cm³
Energy of formation   3.87 eV per formula unit

Cell and atoms, written as POSCAR:
```
NbFeSn2Pb
1.0
-1.6792 -3.1921 2.8420
1.8039 -3.8378 -3.2448
4.6308 -0.0702 2.6574
Sn Nb Pb Fe
2 1 1 1
direct
0.0000 0.0000 0.5000
0.0000 0.5000 0.0000
0.0000 0.0000 0.0000
0.5000 0.5000 0.5000
0.5000 0.0000 0.0000
```

(12)
Material: RbHfTc2F
Method: DFT, SCAN
State: PBEsol geometry

Results
Uncorrected formation energy   991 meV/atom
Theoretical density   4.44 g/cm³

Cell and atoms, written as POSCAR:
```
RbHfTc2F
1.0
4.6832 0.0000 0.0000
0.0000 4.6832 0.0000
0.0000 0.0000 8.1665
Hf Tc Rb F
1 2 1 1
direct
0.0000 0.0000 0.0000
0.0000 0.5000 0.0000
0.5000 0.0000 0.0000
0.0000 0.0000 0.5000
0.5000 0.5000 0.5000
```

Which formula does entry 8 have?
YTaTc2